one.
## Th2TlPd (PBE-GGA)

Data for crystalline Th2TlPd at its relaxed geometry.

Structure (CIF):
```
data_Th2TlPd
_space_group_name_H-M_alt 'R -3 m'
_space_group_IT_number 166
_space_group_name_Hall '-R 3 2"'
_cell_length_a 3.9948
_cell_length_b 3.9948
_cell_length_c 25.7248
_cell_angle_alpha 90.00
_cell_angle_beta 90.00
_cell_angle_gamma 120.00
loop_
_atom_site_label
_atom_site_type_symbol
_atom_site_fract_x
_atom_site_fract_y
_atom_site_fract_z
Th1 Th 0.0000 0.0000 0.2375
Tl1 Tl 0.0000 0.0000 0.0000
Pd1 Pd 0.0000 0.0000 0.5000
```

---

two.
## Th2TlPd (PBE-GGA)

Data for crystalline Th2TlPd at its relaxed geometry.

Structure (CIF):
```
data_Th2TlPd
_space_group_name_H-M_alt 'P 4/m m m'
_space_group_IT_number 123
_space_group_name_Hall '-P 4 2'
_cell_length_a 4.866
_cell_length_b 4.866
_cell_length_c 4.426
_cell_angle_alpha 90.00
_cell_angle_beta 90.00
_cell_angle_gamma 90.00
loop_
_atom_site_label
_atom_site_type_symbol
_atom_site_fract_x
_atom_site_fract_y
_atom_site_fract_z
Th1 Th 0.000 0.500 0.000
Tl1 Tl 0.000 0.000 0.500
Pd1 Pd 0.500 0.500 0.500
```

---

two comes first in stability; the runner-up is 32 meV per atom higher.

---

one.
## Th2TlPd (PBE-GGA)

Data for crystalline Th2TlPd at its relaxed geometry.

Structure (CIF):
```
data_Th2TlPd
_space_group_name_H-M_alt 'P 4/m m m'
_space_group_IT_number 123
_space_group_name_Hall '-P 4 2'
_cell_length_a 3.514
_cell_length_b 3.514
_cell_length_c 8.591
_cell_angle_alpha 90.00
_cell_angle_beta 90.00
_cell_angle_gamma 90.00
loop_
_atom_site_label
_atom_site_type_symbol
_atom_site_fract_x
_atom_site_fract_y
_atom_site_fract_z
Th1 Th 0.000 0.000 0.221
Tl1 Tl 0.500 0.500 0.500
Pd1 Pd 0.500 0.500 0.000
```

---

two.
## Th2TlPd (PBE-GGA)

Data for crystalline Th2TlPd at its relaxed geometry.

Structure (CIF):
```
data_Th2TlPd
_space_group_name_H-M_alt 'R 3 m'
_space_group_IT_number 160
_space_group_name_Hall 'R 3 -2"'
_cell_length_a 3.7825
_cell_length_b 3.7825
_cell_length_c 27.9760
_cell_angle_alpha 90.00
_cell_angle_beta 90.00
_cell_angle_gamma 120.00
loop_
_atom_site_label
_atom_site_type_symbol
_atom_site_fract_x
_atom_site_fract_y
_atom_site_fract_z
Th1 Th 0.0000 0.0000 0.0000
Th2 Th 0.0000 0.0000 0.1912
Tl1 Tl 0.0000 0.0000 0.4301
Pd1 Pd 0.0000 0.0000 0.5965
```

---

one comes first in stability; the runner-up is 134 meV per atom higher.

---

one.
## ThTlPd4 (PBE-GGA)

Data for crystalline ThTlPd4 at its relaxed geometry.

Structure (CIF):
```
data_ThTlPd4
_space_group_name_H-M_alt 'P 1 21/m 1'
_space_group_IT_number 11
_cell_length_a 5.811
_cell_length_b 5.772
_cell_length_c 7.120
_cell_angle_alpha 90.00
_cell_angle_beta 99.59
_cell_angle_gamma 90.00
loop_
_space_group_symop_operation_xyz
'x,y,z'
'-x,-y,-z'
'-x,y+1/2,-z'
'x,-y+1/2,z'
loop_
_atom_site_label
_atom_site_type_symbol
_atom_site_fract_x
_atom_site_fract_y
_atom_site_fract_z
Th1 Th 0.098 0.250 0.303
Tl1 Tl 0.468 0.250 0.719
Pd1 Pd 0.048 0.750 0.302
Pd2 Pd 0.247 0.501 0.985
Pd3 Pd 0.389 0.750 0.652
```

---

two.
## ThTlPd4 (PBE-GGA)

Data for crystalline ThTlPd4 at its relaxed geometry.

Structure (CIF):
```
data_ThTlPd4
_space_group_name_H-M_alt 'F -4 3 m'
_space_group_IT_number 216
_space_group_name_Hall 'F -4 2 3'
_cell_length_a 7.729
_cell_length_b 7.729
_cell_length_c 7.729
_cell_angle_alpha 90.00
_cell_angle_beta 90.00
_cell_angle_gamma 90.00
loop_
_atom_site_label
_atom_site_type_symbol
_atom_site_fract_x
_atom_site_fract_y
_atom_site_fract_z
Th1 Th 0.000 0.000 0.000
Tl1 Tl 0.250 0.250 0.750
Pd1 Pd 0.125 0.125 0.375
```

---

two comes first in stability; the runner-up is 66 meV per atom higher.

---

one.
## TmThPd2 (PBE-GGA)

Data for crystalline TmThPd2 at its relaxed geometry.

Structure (CIF):
```
data_TmThPd2
_space_group_name_H-M_alt 'P 4/m m m'
_space_group_IT_number 123
_space_group_name_Hall '-P 4 2'
_cell_length_a 3.441
_cell_length_b 3.441
_cell_length_c 7.487
_cell_angle_alpha 90.00
_cell_angle_beta 90.00
_cell_angle_gamma 90.00
loop_
_atom_site_label
_atom_site_type_symbol
_atom_site_fract_x
_atom_site_fract_y
_atom_site_fract_z
Tm1 Tm 0.000 0.000 0.000
Th1 Th 0.000 0.000 0.500
Pd1 Pd 0.500 0.500 0.224
```

---

two.
## TmThPd2 (PBE-GGA)

Data for crystalline TmThPd2 at its relaxed geometry.

Structure (CIF):
```
data_TmThPd2
_space_group_name_H-M_alt 'R -3 m'
_space_group_IT_number 166
_space_group_name_Hall '-R 3 2"'
_cell_length_a 4.8558
_cell_length_b 4.8558
_cell_length_c 13.5104
_cell_angle_alpha 90.00
_cell_angle_beta 90.00
_cell_angle_gamma 120.00
loop_
_atom_site_label
_atom_site_type_symbol
_atom_site_fract_x
_atom_site_fract_y
_atom_site_fract_z
Tm1 Tm 0.0000 0.0000 0.0000
Th1 Th 0.0000 0.0000 0.5000
Pd1 Pd 0.0000 0.0000 0.2747
```

---

three.
## TmThPd2 (PBE-GGA)

Data for crystalline TmThPd2 at its relaxed geometry.

Structure (CIF):
```
data_TmThPd2
_space_group_name_H-M_alt 'A m m 2'
_space_group_IT_number 38
_cell_length_a 4.631
_cell_length_b 3.759
_cell_length_c 10.682
_cell_angle_alpha 90.00
_cell_angle_beta 90.00
_cell_angle_gamma 90.00
loop_
_space_group_symop_operation_xyz
'x,y,z'
'-x,-y,z'
'-x,y,z'
'x,-y,z'
'x,y+1/2,z+1/2'
'-x,-y+1/2,z+1/2'
'-x,y+1/2,z+1/2'
'x,-y+1/2,z+1/2'
loop_
_atom_site_label
_atom_site_type_symbol
_atom_site_fract_x
_atom_site_fract_y
_atom_site_fract_z
Tm1 Tm 0.000 0.000 0.000
Th1 Th 0.500 0.000 0.725
Pd1 Pd 0.000 0.000 0.276
Pd2 Pd 0.500 0.000 0.452
```

---

three comes first in stability; the runner-up is 76 meV per atom higher.

---

one.
## Tm2ThPd (PBE-GGA)

Data for crystalline Tm2ThPd at its relaxed geometry.

Structure (CIF):
```
data_Tm2ThPd
_space_group_name_H-M_alt 'R -3 m'
_space_group_IT_number 166
_space_group_name_Hall '-R 3 2"'
_cell_length_a 3.5978
_cell_length_b 3.5978
_cell_length_c 29.1344
_cell_angle_alpha 90.00
_cell_angle_beta 90.00
_cell_angle_gamma 120.00
loop_
_atom_site_label
_atom_site_type_symbol
_atom_site_fract_x
_atom_site_fract_y
_atom_site_fract_z
Tm1 Tm 0.0000 0.0000 0.2334
Th1 Th 0.0000 0.0000 0.0000
Pd1 Pd 0.0000 0.0000 0.5000
```

---

two.
## Tm2ThPd (PBE-GGA)

Data for crystalline Tm2ThPd at its relaxed geometry.

Structure (CIF):
```
data_Tm2ThPd
_space_group_name_H-M_alt 'P 4/m m m'
_space_group_IT_number 123
_space_group_name_Hall '-P 4 2'
_cell_length_a 3.528
_cell_length_b 3.528
_cell_length_c 8.306
_cell_angle_alpha 90.00
_cell_angle_beta 90.00
_cell_angle_gamma 90.00
loop_
_atom_site_label
_atom_site_type_symbol
_atom_site_fract_x
_atom_site_fract_y
_atom_site_fract_z
Tm1 Tm 0.000 0.000 0.200
Th1 Th 0.500 0.500 0.500
Pd1 Pd 0.500 0.500 0.000
```

---

two comes first in stability; the runner-up is 153 meV per atom higher.

---

one.
## TmThPd (PBE-GGA)

Data for crystalline TmThPd at its relaxed geometry.

Structure (CIF):
```
data_TmThPd
_space_group_name_H-M_alt 'F -4 3 m'
_space_group_IT_number 216
_space_group_name_Hall 'F -4 2 3'
_cell_length_a 6.982
_cell_length_b 6.982
_cell_length_c 6.982
_cell_angle_alpha 90.00
_cell_angle_beta 90.00
_cell_angle_gamma 90.00
loop_
_atom_site_label
_atom_site_type_symbol
_atom_site_fract_x
_atom_site_fract_y
_atom_site_fract_z
Tm1 Tm 0.000 0.000 0.000
Th1 Th 0.000 0.000 0.500
Pd1 Pd 0.250 0.250 0.750
```

---

two.
## TmThPd (PBE-GGA)

Data for crystalline TmThPd at its relaxed geometry.

Structure (CIF):
```
data_TmThPd
_space_group_name_H-M_alt 'P 3 m 1'
_space_group_IT_number 156
_cell_length_a 4.8413
_cell_length_b 4.8413
_cell_length_c 3.8227
_cell_angle_alpha 90.00
_cell_angle_beta 90.00
_cell_angle_gamma 120.00
loop_
_space_group_symop_operation_xyz
'x,y,z'
'-y,x-y,z'
'-x+y,-x,z'
'-y,-x,z'
'-x+y,y,z'
'x,x-y,z'
loop_
_atom_site_label
_atom_site_type_symbol
_atom_site_fract_x
_atom_site_fract_y
_atom_site_fract_z
Tm1 Tm 0.0000 0.0000 0.0000
Th1 Th 0.3333 0.6667 0.5302
Pd1 Pd 0.6667 0.3333 0.1983
```

---

one comes first in stability; the runner-up is 14 meV per atom higher.

---

one.
## TmThPd (PBE-GGA)

Data for crystalline TmThPd at its relaxed geometry.

Structure (CIF):
```
data_TmThPd
_space_group_name_H-M_alt 'C 1 2/m 1'
_space_group_IT_number 12
_cell_length_a 11.295
_cell_length_b 4.798
_cell_length_c 6.887
_cell_angle_alpha 90.00
_cell_angle_beta 124.17
_cell_angle_gamma 90.00
loop_
_space_group_symop_operation_xyz
'x,y,z'
'-x,-y,-z'
'-x,y,-z'
'x,-y,z'
'x+1/2,y+1/2,z'
'-x+1/2,-y+1/2,-z'
'-x+1/2,y+1/2,-z'
'x+1/2,-y+1/2,z'
loop_
_atom_site_label
_atom_site_type_symbol
_atom_site_fract_x
_atom_site_fract_y
_atom_site_fract_z
Tm1 Tm 0.175 0.000 0.079
Th1 Th 0.067 0.500 0.323
Pd1 Pd 0.160 0.000 0.654
```

---

two.
## TmThPd (PBE-GGA)

Data for crystalline TmThPd at its relaxed geometry.

Structure (CIF):
```
data_TmThPd
_space_group_name_H-M_alt 'I 4 m m'
_space_group_IT_number 107
_space_group_name_Hall 'I 4 -2'
_cell_length_a 3.608
_cell_length_b 3.608
_cell_length_c 11.791
_cell_angle_alpha 90.00
_cell_angle_beta 90.00
_cell_angle_gamma 90.00
loop_
_atom_site_label
_atom_site_type_symbol
_atom_site_fract_x
_atom_site_fract_y
_atom_site_fract_z
Tm1 Tm 0.000 0.000 0.000
Th1 Th 0.000 0.000 0.709
Pd1 Pd 0.000 0.000 0.358
```

---

one comes first in stability; the runner-up is 9 meV per atom higher.

---

one.
## TmThPd4 (PBE-GGA)

Data for crystalline TmThPd4 at its relaxed geometry.

Structure (CIF):
```
data_TmThPd4
_space_group_name_H-M_alt 'C m c m'
_space_group_IT_number 63
_space_group_name_Hall '-C 2c 2'
_cell_length_a 4.206
_cell_length_b 19.901
_cell_length_c 5.813
_cell_angle_alpha 90.00
_cell_angle_beta 90.00
_cell_angle_gamma 90.00
loop_
_atom_site_label
_atom_site_type_symbol
_atom_site_fract_x
_atom_site_fract_y
_atom_site_fract_z
Tm1 Tm 0.000 0.225 0.250
Th1 Th 0.000 0.081 0.750
Pd1 Pd 0.000 0.074 0.250
Pd2 Pd 0.000 0.350 0.512
Pd3 Pd 0.000 0.500 0.000
```

---

two.
## TmThPd4 (PBE-GGA)

Data for crystalline TmThPd4 at its relaxed geometry.

Structure (CIF):
```
data_TmThPd4
_space_group_name_H-M_alt 'F -4 3 m'
_space_group_IT_number 216
_space_group_name_Hall 'F -4 2 3'
_cell_length_a 7.755
_cell_length_b 7.755
_cell_length_c 7.755
_cell_angle_alpha 90.00
_cell_angle_beta 90.00
_cell_angle_gamma 90.00
loop_
_atom_site_label
_atom_site_type_symbol
_atom_site_fract_x
_atom_site_fract_y
_atom_site_fract_z
Tm1 Tm 0.000 0.000 0.000
Th1 Th 0.250 0.250 0.250
Pd1 Pd 0.125 0.125 0.625
```

---

one comes first in stability; the runner-up is 147 meV per atom higher.